{"formula": "SmNpIr", "functional": "PBE", "state": "optimized geometry", "lattice": [[-2.829, 3.704, 4.107], [-2.366, -1.595, -3.936], [-0.864, -5.599, 2.014]], "species": ["Ir", "Ir", "Np", "Np", "Sm", "Sm"], "frac_coords": [[0.342, 0.240, 0.828], [0.658, 0.760, 0.172], [0.172, 0.629, 0.918], [0.828, 0.371, 0.082], [0.749, 0.880, 0.675], [0.251, 0.120, 0.325]], "volume_a3_per_atom": 25.1, "density_g_cm3": 12.8, "de_polymorph_mev_per_atom": 0, "magmom_total_mub_per_cell": 2.04, "delta_e_f_ev_per_atom": -0.1853}

{"formula": "SmNpIr", "functional": "PBE", "state": "optimized geometry", "lattice": [[6.006, 0.000, 0.000], [0.000, 4.040, 0.000], [0.000, -2.020, 3.499]], "species": ["Np", "Ir", "Sm"], "frac_coords": [[0.246, 0.333, 0.667], [0.016, 0.000, 0.000], [0.738, 0.667, 0.333]], "volume_a3_per_atom": 28.3, "density_g_cm3": 11.3, "de_polymorph_mev_per_atom": 108, "magmom_total_mub_per_cell": 4.53, "delta_e_f_ev_per_atom": -0.0769}

{"formula": "Sm2NpIr9", "functional": "PBE", "state": "optimized geometry", "lattice": [[-1.332, 4.912, -1.561], [-0.349, 1.141, -5.188], [-9.095, -0.273, -2.179]], "species": ["Sm", "Sm", "Np", "Ir", "Ir", "Ir", "Ir", "Ir", "Ir", "Ir", "Ir", "Ir"], "frac_coords": [[0.860, 0.860, 0.419], [0.140, 0.140, 0.581], [0.000, 0.000, 0.000], [0.667, 0.667, 0.999], [0.333, 0.333, 0.001], [0.500, 0.500, 0.500], [0.419, 0.419, 0.244], [0.917, 0.419, 0.244], [0.419, 0.917, 0.244], [0.581, 0.581, 0.756], [0.581, 0.083, 0.756], [0.083, 0.581, 0.756]], "volume_a3_per_atom": 18.1, "density_g_cm3": 17.4, "magmom_total_mub_per_cell": 2.83, "delta_e_f_ev_per_atom": -0.4506}

{"formula": "SmNpIr4", "functional": "PBE", "state": "optimized geometry", "lattice": [[5.377, 0.000, 0.000], [2.688, 4.656, 0.000], [2.688, 1.552, 4.390]], "species": ["Np", "Ir", "Ir", "Ir", "Ir", "Sm"], "frac_coords": [[0.000, 0.000, 0.000], [0.625, 0.625, 0.125], [0.625, 0.125, 0.625], [0.625, 0.625, 0.625], [0.125, 0.625, 0.625], [0.250, 0.250, 0.250]], "volume_a3_per_atom": 18.3, "density_g_cm3": 17.5, "magmom_total_mub_per_cell": 3.47, "delta_e_f_ev_per_atom": -0.5623}

Repeat the first record exactly.
{"formula": "SmNpIr", "functional": "PBE", "state": "optimized geometry", "lattice": [[-2.829, 3.704, 4.107], [-2.366, -1.595, -3.936], [-0.864, -5.599, 2.014]], "species": ["Ir", "Ir", "Np", "Np", "Sm", "Sm"], "frac_coords": [[0.342, 0.240, 0.828], [0.658, 0.760, 0.172], [0.172, 0.629, 0.918], [0.828, 0.371, 0.082], [0.749, 0.880, 0.675], [0.251, 0.120, 0.325]], "volume_a3_per_atom": 25.1, "density_g_cm3": 12.8, "de_polymorph_mev_per_atom": 0, "magmom_total_mub_per_cell": 2.04, "delta_e_f_ev_per_atom": -0.1853}